No. 1
DFT (PBE with a Hubbard U) results for a relaxed structure of Tl2MoF11.

Output
total DFT energy (no corrections)	-4.26	eV per atom

Lattice parameters (Å, degrees): 7.8415 8.3249 8.3249 75.61 61.90 61.90
Site moments in Bohr magnetons follow the coordinates.
Fractional coordinates of all 28 atoms:
Tl (0.6397, 0.6809, 0.3191)  0.00
Tl (0.3603, 0.3191, 0.6809)  0.00
Tl (0.8603, 0.1809, 0.8191)  0.00
Tl (0.1397, 0.8191, 0.1809)  0.00
Mo (0.7500, 0.7500, 0.7500)  0.98
Mo (0.2500, 0.2500, 0.2500)  0.98
F (0.6461, 0.7106, 0.5845)  0.00
F (0.3539, 0.2894, 0.4155)  0.00
F (0.0589, 0.5845, 0.7106)  0.00
F (0.8539, 0.9155, 0.7894)  0.00
F (0.9411, 0.4155, 0.2894)  0.00
F (0.1461, 0.0845, 0.2106)  0.00
F (0.4411, 0.7894, 0.9155)  0.00
F (0.5589, 0.2106, 0.0845)  0.00
F (0.5000, 0.5000, 0.5000)  0.00
F (0.0000, 0.0000, 0.0000)  0.00
F (0.8647, 0.7900, 0.2100)  0.00
F (0.1353, 0.2100, 0.7900)  0.00
F (0.6353, 0.2900, 0.7100)  0.00
F (0.3647, 0.7100, 0.2900)  0.00
F (0.4347, 0.9949, 0.3089)  0.00
F (0.5653, 0.0051, 0.6911)  0.00
F (0.2616, 0.3089, 0.9949)  0.00
F (0.0653, 0.1911, 0.5051)  0.00
F (0.7384, 0.6911, 0.0051)  0.00
F (0.9347, 0.8089, 0.4949)  0.00
F (0.2384, 0.5051, 0.1911)  0.00
F (0.7616, 0.4949, 0.8089)  0.00

No. 2
DFT (PBE with a Hubbard U) results for a relaxed structure of TlMoF5.

Output
Fermi-level density of states	2.23	states/eV per cell
total DFT energy (no corrections)	-4.89	eV per atom

Lattice parameters (Å, degrees): 8.4108 8.3825 6.0826 91.55 90.75 33.52
Site moments in Bohr magnetons follow the coordinates.
Fractional coordinates of all 14 atoms:
Tl (0.2945, 0.1995, 0.2536)  0.00
Tl (0.7055, 0.8005, 0.7464)  0.00
Mo (0.0000, 0.0000, 0.0000)  2.76
Mo (0.5000, 0.5000, 0.5000)  1.90
F (0.8050, 0.2925, 0.2715)  0.01
F (0.3832, 0.8193, 0.5107)  0.01
F (0.7762, 0.3159, 0.7577)  0.03
F (0.7967, 0.6999, 0.2984)  0.00
F (0.6915, 0.0833, 0.9880)  0.03
F (0.3085, 0.9167, 0.0120)  0.03
F (0.2033, 0.3001, 0.7016)  0.00
F (0.2238, 0.6841, 0.2423)  0.03
F (0.6168, 0.1807, 0.4893)  0.01
F (0.1950, 0.7075, 0.7285)  0.01